1.
DFT (PBE-GGA) results for an optimized crystal structure of Ba4GaAgI2.

Unit cell a=8.449 b=4.766 c=9.282 alpha=90.00 beta=106.96 gamma=90.00
Space group P2/m (No. 10)
Unique sites:
1 Ba 0.238 0.000 0.220 [2 per cell]
2 Ba 0.250 0.500 0.784 [2 per cell]
3 Ga 0.000 0.500 0.000 [1 per cell]
4 Ag 0.500 0.000 0.000 [1 per cell]
5 I 0.000 0.000 0.500 [1 per cell]
6 I 0.500 0.500 0.500 [1 per cell]

## Properties
**Formation energy from raw total energies**: -626 kJ/mol of formula units
**Crystal system**: monoclinic
**DOS at the Fermi energy**: 5.23 states/eV/f.u.

***

2.
DFT (PBE-GGA) results for an optimized crystal structure of CaRe2As.

Unit cell a=5.310 b=9.853 c=2.745 alpha=90.00 beta=90.00 gamma=90.00
Space group Cmmm (No. 65)
Unique sites:
1 Ca 0.000 0.000 0.000 [2 per cell]
2 Re 0.250 0.250 0.500 [4 per cell]
3 As 0.000 0.500 0.000 [2 per cell]

## Properties
**Energy**: -0.520 Ry per atom
**Crystal system**: orthorhombic
**DOS at the Fermi energy**: 3.68 states/eV/f.u.

***

3.
DFT (PBE-GGA) results for an optimized crystal structure of EuGdMg2.

Unit cell a=3.867 b=3.867 c=8.011 alpha=90.00 beta=90.00 gamma=90.00
Space group P4/mmm (No. 123)
Unique sites:
1 Eu 0.000 0.000 0.000 [1 per cell]
2 Gd 0.000 0.000 0.500 [1 per cell]
3 Mg 0.500 0.500 0.267 [2 per cell]

## Properties
**Energy above the lowest structure with this stoichiometry**: 0.0 meV per atom
**Crystal system**: tetragonal
**DOS at the Fermi energy**: 8.56 states/eV/f.u.

***

4.
DFT (PBE-GGA) results for an optimized crystal structure of CrIr2Se.

Unit cell a=5.594 b=7.317 c=2.927 alpha=90.00 beta=90.00 gamma=90.00
Space group Cmmm (No. 65)
Unique sites:
1 Cr 0.000 0.000 0.000 [2 per cell]
2 Ir 0.250 0.250 0.500 [4 per cell]
3 Se 0.000 0.500 0.000 [2 per cell]

## Properties
**Formation energy from raw total energies**: 114 kJ/mol of formula units
**Crystal system**: orthorhombic
**DOS at the Fermi energy**: 3.01 states/eV/f.u.

***

5.
DFT (PBE-GGA) results for an optimized crystal structure of BaHfGaPb2.

Unit cell a=6.058 b=6.058 c=5.552 alpha=90.00 beta=90.00 gamma=90.00
Space group P4/mmm (No. 123)
Unique sites:
1 Ba 0.000 0.000 0.000 [1 per cell]
2 Hf 0.500 0.500 0.500 [1 per cell]
3 Ga 0.000 0.000 0.500 [1 per cell]
4 Pb 0.000 0.500 0.000 [2 per cell]

## Properties
**Energy**: -0.221 Ry per atom
**Crystal system**: tetragonal
**DOS at the Fermi energy**: 6.68 states/eV/f.u.

***

6.
DFT (PBE-GGA) results for an optimized crystal structure of BaZrHgTe2.

Unit cell a=5.638 b=5.638 c=6.329 alpha=90.00 beta=90.00 gamma=90.00
Space group P4/mmm (No. 123)
Unique sites:
1 Ba 0.000 0.000 0.000 [1 per cell]
2 Zr 0.000 0.000 0.500 [1 per cell]
3 Hg 0.500 0.500 0.000 [1 per cell]
4 Te 0.000 0.500 0.500 [2 per cell]

## Properties
**Formation energy from raw total energies**: -158 kJ/mol of formula units
**Crystal system**: tetragonal
**DOS at the Fermi energy**: 3.56 states/eV/f.u.

***

7.
DFT (PBE-GGA) results for an optimized crystal structure of La12Pr7Sc.

Unit cell a=19.0571 b=19.0571 c=7.0388 alpha=90.00 beta=90.00 gamma=120.00
Space group R-3 (No. 148, hexagonal axes)
Unique sites:
1 La 0.9996 0.2144 0.2942 [18 per cell]
2 La 0.0058 0.5396 0.7424 [18 per cell]
3 Pr 0.0000 0.0000 0.5000 [3 per cell]
4 Pr 0.0041 0.1521 0.7851 [18 per cell]
5 Sc 0.0000 0.0000 0.0000 [3 per cell]

## Properties
**Energy above the lowest structure with this stoichiometry**: 47.3 meV per atom
**Crystal system**: trigonal
**DOS at the Fermi energy**: 29.64 states/eV/f.u.

***

8.
DFT (PBE-GGA) results for an optimized crystal structure of OsWSe.

Unit cell a=12.698 b=2.997 c=5.241 alpha=90.00 beta=90.00 gamma=90.00
Space group Amm2 (No. 38)
Unique sites:
1 Os 0.157 0.000 0.000 [4 per cell]
2 W 0.000 0.000 0.312 [2 per cell]
3 W 0.500 0.000 0.270 [2 per cell]
4 Se 0.354 0.000 0.599 [4 per cell]

## Properties
**Energy above the lowest structure with this stoichiometry**: 75.0 meV per atom
**Formation energy from raw total energies**: 108 kJ/mol of formula units
**Crystal system**: orthorhombic
**DOS at the Fermi energy**: 2.27 states/eV/f.u.